Here is crystalline FeNiAsIr at its relaxed geometry from the Open Quantum Materials Database. Energies are from PBE-GGA.

```
FeNiAsIr
1.0
-2.649 -2.361 -2.221
-3.360 1.741 -1.788
-0.181 0.408 -4.162
Fe As Ir Ni
1 1 1 1
Cartesian
-4.642 -0.158 -6.128 Fe
0.000 0.000 0.000 As
-1.547 -0.053 -2.043 Ir
-3.095 -0.105 -4.086 Ni
```

Computed properties:
Its energy above the lowest structure with this stoichiometry is 0.000 eV per atom.